(1)
Ti4VAu3 (PBE-GGA, relaxed); symmetry = P4/mmm (123); magnetization = 1.97 μB per formula unit; total energy = -6.61 eV per atom
1.0
3.016 0.000 0.000
0.000 3.016 0.000
0.000 0.000 14.696
V Au Ti
1 3 4
Direct
0.500 0.500 0.000
0.500 0.500 0.236
0.500 0.500 0.500
0.500 0.500 0.764
0.000 0.000 0.893
0.000 0.000 0.107
0.000 0.000 0.369
0.000 0.000 0.631

=====

(2)
Ti2VAu2 (PBE-GGA, relaxed); energy above the lowest structure with this stoichiometry = 0.44 eV per formula unit; symmetry = P4/mbm (127); magnetization = 0.00 μB per formula unit
1.0
-2.684 6.640 0.936
-6.493 -2.322 -2.148
-0.770 -0.754 3.143
V Au Ti
2 4 4
Direct
0.000 0.000 0.000
0.500 0.500 0.000
0.140 0.640 0.500
0.640 0.860 0.500
0.860 0.360 0.500
0.360 0.140 0.500
0.338 0.838 0.000
0.838 0.662 0.000
0.662 0.162 0.000
0.162 0.338 0.000

=====

(3)
TiV3Au (PBE-GGA, relaxed); energy above the lowest structure with this stoichiometry = 1.94 eV per formula unit; symmetry = Pm-3m (221); magnetization = 6.06 μB per formula unit
1.0
-4.259 -1.407 -1.588
2.080 -3.475 -2.499
-0.421 -2.931 3.725
V Au Ti
3 1 1
Direct
0.000 0.500 0.000
0.000 0.000 0.500
0.500 0.000 0.000
0.000 0.000 0.000
0.500 0.500 0.500

=====

(4)
TiV3Au (PBE-GGA, relaxed); energy above the lowest structure with this stoichiometry = 0.00 eV per formula unit; symmetry = Pm-3m (221); magnetization = 2.37 μB per formula unit
1.0
-2.782 2.307 -2.506
-3.361 -2.385 1.536
-0.554 2.886 3.272
V Au Ti
3 1 1
Direct
0.000 0.500 0.000
0.000 0.000 0.500
0.500 0.000 0.000
0.500 0.500 0.500
0.000 0.000 0.000

=====

(5)
Ti3VAu (PBE-GGA, relaxed); energy above the lowest structure with this stoichiometry = 0.00 eV per formula unit; symmetry = Pm-3m (221); magnetization = 0.01 μB per formula unit
1.0
4.515 0.000 0.000
0.000 4.515 0.000
0.000 0.000 4.515
V Au Ti
1 1 3
Direct
0.000 0.000 0.000
0.500 0.500 0.500
0.000 0.500 0.000
0.000 0.000 0.500
0.500 0.000 0.000

=====

(6)
Ti4VAu2 (PBE-GGA, relaxed); symmetry = I4/mmm (139); magnetization = 0.01 μB per formula unit; total energy = -6.39 eV per atom
1.0
4.442 0.000 0.000
0.000 4.442 0.000
2.221 2.221 6.755
Ti Au V
4 2 1
Direct
0.183 0.183 0.635
0.817 0.817 0.365
0.000 0.500 0.000
0.500 0.000 0.000
0.376 0.376 0.249
0.624 0.624 0.751
0.000 0.000 0.000

=====

(7)
Ti2VAu2 (PBE-GGA, relaxed); energy above the lowest structure with this stoichiometry = 1.86 eV per formula unit; symmetry = I4/mmm (139); magnetization = 0.70 μB per formula unit
1.0
3.761 0.000 0.000
0.000 3.761 0.000
1.881 1.881 6.662
V Au Ti
1 2 2
Direct
0.000 0.000 0.000
0.750 0.250 0.500
0.250 0.750 0.500
0.406 0.406 0.188
0.594 0.594 0.812

=====

(8)
Ti2VAu2 (PBE-GGA, relaxed); energy above the lowest structure with this stoichiometry = 0.00 eV per formula unit; symmetry = P4/mbm (127); magnetization = 3.29 μB per formula unit
1.0
-5.492 4.810 -0.935
-4.210 -5.350 -2.798
-1.117 -0.691 3.002
V Au Ti
2 4 4
Direct
0.000 0.000 0.000
0.500 0.500 0.000
0.368 0.868 0.000
0.868 0.632 0.000
0.632 0.132 0.000
0.132 0.368 0.000
0.171 0.671 0.500
0.671 0.829 0.500
0.829 0.329 0.500
0.329 0.171 0.500

=====

(9)
TiVAu (PBE-GGA, relaxed); energy above the lowest structure with this stoichiometry = 2.30 eV per formula unit; symmetry = I4mm (107); magnetization = 0.41 μB per formula unit
1.0
2.675 0.000 0.000
0.000 2.675 0.000
-1.337 -1.337 7.304
V Au Ti
1 1 1
Direct
0.280 0.280 0.560
0.461 0.461 0.921
0.110 0.110 0.219

=====

(10)
TiVAu (PBE-GGA, relaxed); energy above the lowest structure with this stoichiometry = 0.00 eV per formula unit; symmetry = P4/nmm (129); magnetization = 0.00 μB per formula unit
1.0
3.176 0.000 0.168
-0.001 3.181 0.003
-0.498 -0.008 9.448
Ti V Au
2 2 2
Direct
0.872 0.291 0.523
0.373 0.791 0.989
0.873 0.291 0.826
0.372 0.791 0.686
0.873 0.291 0.155
0.372 0.791 0.358

=====

(11)
TiVAu (PBE-GGA, relaxed); energy above the lowest structure with this stoichiometry = 0.59 eV per formula unit; symmetry = I4/mmm (139); magnetization = 0.00 μB per formula unit
1.0
3.721 0.000 0.000
0.000 3.721 0.000
-1.861 -1.861 7.241
Ti V Au
2 2 2
Direct
0.177 0.177 0.354
0.823 0.823 0.646
0.000 0.500 0.000
0.500 0.000 0.000
0.638 0.638 0.277
0.362 0.362 0.723

=====

(12)
ZrTiV2Au (PBE-GGA, relaxed); symmetry = P4/mmm (123); magnetization = 0.01 μB per formula unit; total energy = -6.19 eV per atom
1.0
-2.690 2.484 -2.725
-3.775 -0.265 3.484
1.542 3.822 1.962
Ti Au Zr V
1 1 1 2
Direct
0.500 0.500 0.500
0.000 0.500 0.000
0.000 0.000 0.000
0.000 0.000 0.500
0.500 0.000 0.000

=====

Question: Look up the magnetization of the sixth one.
Answer: 0.01 μB per formula unit

=====

Question: The highest magnetization belongs to which entry?
Answer: number 3